(1)
CsNdS4: relaxed, PBE.

Calculated values
* SG: P4/nbm, No. 125
* final energy: -4.9002 eV/atom

Geometry as CIF:
```
data_CsNdS4
_cell_length_a 6.1263
_cell_length_b 6.1263
_cell_length_c 8.7647
_cell_angle_alpha 90.00
_cell_angle_beta 90.00
_cell_angle_gamma 90.00
_space_group_name_H-M_alt 'P 1'
_space_group_IT_number 1
loop_
_space_group_symop_operation_xyz
'x,y,z'
loop_
_atom_site_label
_atom_site_type_symbol
_atom_site_fract_x
_atom_site_fract_y
_atom_site_fract_z
Cs1 Cs 0.5000 0.5000 0.5000
Cs2 Cs 0.0000 0.0000 0.5000
Nd1 Nd 0.5000 0.5000 0.0000
Nd2 Nd 0.0000 0.0000 0.0000
S1 S 0.6219 0.8781 0.1920
S2 S 0.1219 0.6219 0.1920
S3 S 0.8781 0.3781 0.1920
S4 S 0.6219 0.1219 0.8080
S5 S 0.3781 0.8781 0.8080
S6 S 0.3781 0.1219 0.1920
S7 S 0.8781 0.6219 0.8080
S8 S 0.1219 0.3781 0.8080
```

***

(2)
CsNd4S6: relaxed, PBE.

Calculated values
* SG: Cmcm, No. 63
* final energy: -5.9739 eV/atom

Geometry as CIF:
```
data_CsNd4S6
_cell_length_a 4.1287
_cell_length_b 7.2009
_cell_length_c 22.0212
_cell_angle_alpha 90.00
_cell_angle_beta 90.00
_cell_angle_gamma 106.66
_space_group_name_H-M_alt 'P 1'
_space_group_IT_number 1
loop_
_space_group_symop_operation_xyz
'x,y,z'
loop_
_atom_site_label
_atom_site_type_symbol
_atom_site_fract_x
_atom_site_fract_y
_atom_site_fract_z
Cs1 Cs 0.6488 0.2977 0.2500
Cs2 Cs 0.3512 0.7023 0.7500
Nd1 Nd 0.8696 0.7393 0.5405
Nd2 Nd 0.3969 0.7938 0.1328
Nd3 Nd 0.1304 0.2607 0.4595
Nd4 Nd 0.6031 0.2062 0.8672
Nd5 Nd 0.8696 0.7393 0.9595
Nd6 Nd 0.1304 0.2607 0.0405
Nd7 Nd 0.6031 0.2062 0.6328
Nd8 Nd 0.3969 0.7938 0.3672
S1 S 0.5000 0.0000 0.0000
S2 S 0.5000 0.0000 0.5000
S3 S 0.0298 0.0596 0.3531
S4 S 0.9702 0.9404 0.6469
S5 S 0.9702 0.9404 0.8531
S6 S 0.0298 0.0596 0.1469
S7 S 0.7701 0.5401 0.4219
S8 S 0.2299 0.4599 0.5781
S9 S 0.2299 0.4599 0.9219
S10 S 0.7701 0.5401 0.0781
S11 S 0.3460 0.6919 0.2500
S12 S 0.6540 0.3081 0.7500
```

***

(3)
CsNd2S3: relaxed, PBE.

Calculated values
* SG: Cmcm, No. 63
* final energy: -5.4152 eV/atom

Geometry as CIF:
```
data_CsNd2S3
_cell_length_a 4.6853
_cell_length_b 8.3688
_cell_length_c 11.1153
_cell_angle_alpha 90.00
_cell_angle_beta 90.00
_cell_angle_gamma 106.26
_space_group_name_H-M_alt 'P 1'
_space_group_IT_number 1
loop_
_space_group_symop_operation_xyz
'x,y,z'
loop_
_atom_site_label
_atom_site_type_symbol
_atom_site_fract_x
_atom_site_fract_y
_atom_site_fract_z
Cs1 Cs 0.2648 0.5295 0.2500
Cs2 Cs 0.7352 0.4705 0.7500
Nd1 Nd 0.0000 0.0000 0.0000
Nd2 Nd 0.0000 0.0000 0.5000
Nd3 Nd 0.5266 0.0532 0.2500
Nd4 Nd 0.4734 0.9468 0.7500
S1 S 0.6113 0.2226 0.0406
S2 S 0.0571 0.1141 0.7500
S3 S 0.6113 0.2226 0.4594
S4 S 0.9429 0.8859 0.2500
S5 S 0.3887 0.7774 0.9594
S6 S 0.3887 0.7774 0.5406
```

***

(4)
Cs2NdSb2S6: relaxed, PBE.

Calculated values
* SG: C2/m, No. 12
* final energy: -4.4590 eV/atom

Geometry as CIF:
```
data_Cs2NdSb2S6
_cell_length_a 7.5510
_cell_length_b 7.4090
_cell_length_c 8.9954
_cell_angle_alpha 113.39
_cell_angle_beta 90.00
_cell_angle_gamma 120.64
_space_group_name_H-M_alt 'P 1'
_space_group_IT_number 1
loop_
_space_group_symop_operation_xyz
'x,y,z'
loop_
_atom_site_label
_atom_site_type_symbol
_atom_site_fract_x
_atom_site_fract_y
_atom_site_fract_z
Cs1 Cs 0.7032 0.4063 0.1775
Cs2 Cs 0.2968 0.5937 0.8225
Nd1 Nd 0.5000 0.0000 0.5000
Sb1 Sb 0.9447 0.8894 0.7986
Sb2 Sb 0.0553 0.1106 0.2014
S1 S 0.7408 0.4816 0.5888
S2 S 0.2113 0.9085 0.2310
S3 S 0.3028 0.0915 0.7690
S4 S 0.7887 0.0915 0.7690
S5 S 0.6972 0.9085 0.2310
S6 S 0.2592 0.5184 0.4112
```

***

(5)
Cs3NdSc2S6: relaxed, PBE.

Calculated values
* SG: C2/m, No. 12
* final energy: -5.4372 eV/atom

Geometry as CIF:
```
data_Cs3NdSc2S6
_cell_length_a 6.9628
_cell_length_b 6.9628
_cell_length_c 8.3482
_cell_angle_alpha 98.01
_cell_angle_beta 98.01
_cell_angle_gamma 119.98
_space_group_name_H-M_alt 'P 1'
_space_group_IT_number 1
loop_
_space_group_symop_operation_xyz
'x,y,z'
loop_
_atom_site_label
_atom_site_type_symbol
_atom_site_fract_x
_atom_site_fract_y
_atom_site_fract_z
Cs1 Cs 0.1638 0.8362 0.5000
Cs2 Cs 0.8362 0.1638 0.5000
Cs3 Cs 0.5000 0.5000 0.5000
Nd1 Nd 0.0000 0.0000 0.0000
Sc1 Sc 0.3332 0.6668 0.0000
Sc2 Sc 0.6668 0.3332 0.0000
S1 S 0.9407 0.5866 0.8222
S2 S 0.7048 0.7048 0.1764
S3 S 0.0593 0.4134 0.1778
S4 S 0.5866 0.9407 0.8222
S5 S 0.2952 0.2952 0.8236
S6 S 0.4134 0.0593 0.1778
```

***

(6)
Cs3Nd3ScS8: relaxed, PBE.

Calculated values
* SG: R-3m, No. 166
* final energy: -5.4433 eV/atom

Geometry as CIF:
```
data_Cs3Nd3ScS8
_cell_length_a 8.2633
_cell_length_b 8.2667
_cell_length_c 9.4999
_cell_angle_alpha 115.83
_cell_angle_beta 90.00
_cell_angle_gamma 119.98
_space_group_name_H-M_alt 'P 1'
_space_group_IT_number 1
loop_
_space_group_symop_operation_xyz
'x,y,z'
loop_
_atom_site_label
_atom_site_type_symbol
_atom_site_fract_x
_atom_site_fract_y
_atom_site_fract_z
Cs1 Cs 0.0000 0.0000 0.0000
Cs2 Cs 0.0000 0.5000 0.0000
Cs3 Cs 0.5000 0.5000 0.0000
Nd1 Nd 0.5000 0.0000 0.5000
Nd2 Nd 0.5000 0.5000 0.5000
Nd3 Nd 0.0000 0.5000 0.5000
Sc1 Sc 0.0000 0.0000 0.5000
S1 S 0.2708 0.5415 0.3124
S2 S 0.7292 0.4585 0.6876
S3 S 0.7858 0.5715 0.3247
S4 S 0.2142 0.4285 0.6753
S5 S 0.7858 0.0387 0.3247
S6 S 0.2142 0.9613 0.6753
S7 S 0.2529 0.0387 0.3247
S8 S 0.7471 0.9613 0.6753
```

***

no.,formation energy without anion corrections (eV/atom)
1,-1.2117
2,-1.9112
3,-1.6200
4,-0.8695
5,-1.7075
6,-1.6956